(1)
Below is a relaxed MnCuSb crystal, with properties calculated at the PBE-GGA level.

Lattice parameters (Å, degrees): 4.1600 4.1600 3.5358 90.00 90.00 120.00
Site moments in Bohr magnetons follow the coordinates.
Fractional coordinates of all 3 atoms:
Sb1 0.3333 0.6667 0.7025  -0.06
Cu1 0.0000 0.0000 0.0156  0.04
Mn1 0.6667 0.3333 0.2820  3.52

Output
The calculation puts the uncorrected formation energy at 0.243 eV per atom. The value obtained for the distance to the lowest polymorph of the same formula is 0.147 eV/atom.

(2)
Below is a relaxed BaFeTe2 crystal, with properties calculated at the PBE-GGA level.

Lattice parameters (Å, degrees): 7.9483 7.9483 6.8086 54.29 54.29 90.00
Fractional coordinates of all 8 atoms:
Ba1 0.0000 0.0000 0.0000
Ba2 0.7500 0.2500 0.5000
Fe1 0.2500 0.7500 0.5000
Fe2 0.5000 0.5000 0.0000
Te1 0.3750 0.4828 0.7500
Te2 0.2328 0.6250 0.2500
Te3 0.5172 0.1250 0.2500
Te4 0.8750 0.7672 0.7500

Output
The calculation puts the uncorrected formation energy at -0.588 eV per atom.